# UReOs2 GGA-PBE optimized geometry
data_UReOs2
_chemical_formula_sum 'U1 Re1 Os2'
_cell_length_a 4.069
_cell_length_b 4.069
_cell_length_c 3.990
_cell_angle_alpha 90.00
_cell_angle_beta 90.00
_cell_angle_gamma 90.00
_space_group_name_H-M_alt 'P 1'
_space_group_IT_number 1
loop_
_space_group_symop_operation_xyz
'x,y,z'
loop_
_atom_site_label
_atom_site_type_symbol
_atom_site_fract_x
_atom_site_fract_y
_atom_site_fract_z
U1 U 0.000 0.000 0.000
Re1 Re 0.500 0.500 0.000
Os1 Os 0.000 0.500 0.500
Os2 Os 0.500 0.000 0.500
# - formation enthalpy at 0 K (eV per atom) = -0.0453
# - DOS at the Fermi energy (states/eV/f.u.) = 4.3
# - symmetry = P4/mmm (123)
# - excess energy over the best structure of this formula in the dataset (eV per atom) = 0.000
# - total moment (μB/atom) = 0.00